A relaxed Rb3Pb4Au2 crystal. Source: the Alexandria database, functional PBE-GGA.

total DFT energy (no corrections): -2.867 eV per atom
energy of formation: -168.0 meV per atom
symmetry: P-1

abc: 4.7964 7.5395 10.5174
angles: 74.40 89.93 71.47
Last column: nearest neighbours and their distance in Å.
Atoms (fractional coordinates):
Rb 0.0000 0.0000 0.0000  6 Pb 3.80-4.19
Rb 0.3688 0.2606 0.6129  5 Pb 3.70-3.85, 1 Au 4.06
Rb 0.6312 0.7394 0.3871  5 Pb 3.70-3.85, 1 Au 4.06
Pb 0.0855 0.8307 0.6497  2 Au 2.87
Pb 0.2858 0.4306 0.9136  3 Au 2.98-3.04, 2 Pb 3.32-3.33
Pb 0.7142 0.5694 0.0864  3 Au 2.98-3.04, 2 Pb 3.32-3.33
Pb 0.9145 0.1693 0.3503  2 Au 2.87
Au 0.3376 0.3230 0.2088  5 Pb 2.87-3.04
Au 0.6624 0.6770 0.7912  5 Pb 2.87-3.04